## 1
Cu8Ni2Pd PBE relaxed; M_tot = 0.0 μB/cell
1.0
-1.999 -0.631 -3.854
-6.311 -1.426 -1.465
-4.477 5.475 -1.060
Cu Ni Pd
8 2 1
direct
0.762 0.100 0.275
0.500 0.200 0.601
0.238 0.624 0.275
0.762 0.376 0.725
0.238 0.900 0.725
0.500 0.800 0.399
0.246 0.501 0.000
0.754 0.499 0.000
0.000 0.682 0.636
0.000 0.318 0.364
0.500 0.000 0.000

## 2
Cu8Ni2Pd PBE relaxed; M_tot = 0.0 μB/cell
1.0
3.913 0.128 -0.086
-0.234 5.681 -2.207
0.111 0.686 6.059
Cu Ni Pd
8 2 1
direct
0.500 0.678 0.966
0.000 0.315 0.803
0.000 0.652 0.652
0.000 0.803 0.315
0.500 0.966 0.678
0.500 0.291 0.035
0.500 0.035 0.291
0.000 0.329 0.329
0.500 0.610 0.369
0.500 0.369 0.610
0.000 0.985 0.986

Least stable of them? 1.